A plane-wave DFT calculation with GGA-PBE was carried out for crystalline Ac2TbErSe6 at its relaxed geometry.

Properties
Raw formation energy, eV/atom: -1.974

Cell lengths 7.1706, 7.8955, 12.7556 Å; angles 90.00, 124.03, 90.00 degrees
With the nearest neighbours (Å) after each atom.
Space group P2_1/c (No. 14)
Symmetry-distinct sites (fractional):
Ac  0.2130  0.0964  0.2495 x4  6 Se 3.10-3.31
Tb  0.5000  0.0000  0.0000 x2  6 Se 2.84-2.87
Er  0.0000  0.0000  0.5000 x2  6 Se 2.81-2.84
Se  0.1118  0.1887  0.9357 x4  1 Tb 2.84, 1 Er 2.84, 1 Ac 3.15
Se  0.2565  0.6861  0.9358 x4  1 Er 2.81, 1 Tb 2.87, 1 Ac 3.14
Se  0.3792  0.0404  0.7482 x4  1 Er 2.81, 1 Tb 2.84, 2 Ac 3.10-3.11

A plane-wave DFT calculation with GGA-PBE was carried out for crystalline AcTbErSe3 at its relaxed geometry.

Properties
Raw formation energy, eV/atom: -1.643

Cell lengths 8.1735, 4.1776, 10.3819 Å; angles 90.00, 104.92, 90.00 degrees
With the nearest neighbours (Å) after each atom.
Space group P2_1/m (No. 11)
Symmetry-distinct sites (fractional):
Ac  0.1906  0.2500  0.2128 x2  7 Se 3.11-3.26
Tb  0.3355  0.7500  0.9083 x2  5 Se 2.84-2.94
Er  0.1655  0.2500  0.6237 x2  5 Se 2.82-2.96
Se  0.0954  0.2500  0.8878 x2  2 Tb 2.84, 1 Er 2.94, 2 Ac 3.11
Se  0.2026  0.7500  0.4509 x2  3 Er 2.82-2.91
Se  0.4882  0.7500  0.1975 x2  3 Tb 2.91-2.94, 1 Er 2.96, 2 Ac 3.24

A plane-wave DFT calculation with GGA-PBE was carried out for crystalline Ac2TbErSe4 at its relaxed geometry.

Properties
Raw formation energy, eV/atom: -1.796

Cell lengths 7.1915, 4.1318, 7.7653 Å; angles 90.00, 107.85, 90.00 degrees
With the nearest neighbours (Å) after each atom.
Space group P2/m (No. 10)
Symmetry-distinct sites (fractional):
Ac  0.0000  0.0000  0.0000 x1  6 Se 3.18
Ac  0.5000  0.5000  0.0000 x1  6 Se 3.16
Tb  0.0000  0.5000  0.5000 x1  6 Se 2.89-2.90
Er  0.5000  0.0000  0.5000 x1  6 Se 2.87
Se  0.2421  0.0000  0.7189 x2  1 Er 2.87, 2 Tb 2.89, 3 Ac 3.16-3.18
Se  0.2641  0.5000  0.2829 x2  2 Er 2.87, 1 Tb 2.90, 3 Ac 3.16-3.18

Number 1: DFT total energy -5.81 eV per atom. Number 2: DFT total energy -5.60 eV per atom. Number 3: DFT total energy -5.71 eV per atom.